[1]
# GaMoPt | Alexandria via LeMat-Bulk | PBE-GGA | relaxed
# Crystal system ... monoclinic
# Formation energy from the elements ... -0.284 eV per atom
data_GaMoPt
_space_group_name_H-M_alt 'C 1 m 1'
_space_group_IT_number 8
_cell_length_a 9.2272
_cell_length_b 3.9931
_cell_length_c 5.5145
_cell_angle_alpha 90.00
_cell_angle_beta 112.72
_cell_angle_gamma 90.00
loop_
_space_group_symop_operation_xyz
'x,y,z'
'x,-y,z'
'x+1/2,y+1/2,z'
'x+1/2,-y+1/2,z'
loop_
_atom_site_label
_atom_site_fract_x
_atom_site_fract_y
_atom_site_fract_z
Ga1 0.0000 0.0000 0.0000
Ga2 0.1722 0.5000 0.7757
Mo1 0.1861 0.5000 0.2831
Mo2 0.3187 0.0000 0.1631
Pt1 0.0072 0.0000 0.4884
Pt2 0.3607 0.0000 0.6962



[2]
# TaTi3Se8 | Alexandria via LeMat-Bulk | PBE-GGA | relaxed
# Crystal system ... monoclinic
# ΔE_f (raw) ... -1048.9 meV per atom
data_TaTi3Se8
_space_group_name_H-M_alt 'C 1 2/m 1'
_space_group_IT_number 12
_cell_length_a 12.1914
_cell_length_b 7.0457
_cell_length_c 8.0736
_cell_angle_alpha 90.00
_cell_angle_beta 120.74
_cell_angle_gamma 90.00
loop_
_space_group_symop_operation_xyz
'x,y,z'
'-x,-y,-z'
'-x,y,-z'
'x,-y,z'
'x+1/2,y+1/2,z'
'-x+1/2,-y+1/2,-z'
'-x+1/2,y+1/2,-z'
'x+1/2,-y+1/2,z'
loop_
_atom_site_label
_atom_site_fract_x
_atom_site_fract_y
_atom_site_fract_z
Ta1 0.0000 0.0000 0.0000
Ti1 0.0000 0.5000 0.0000
Ti2 0.2500 0.2500 0.0000
Se1 0.0065 0.2521 0.7707
Se2 0.2428 0.5000 0.2250
Se3 0.2456 0.0000 0.2293



[3]
# RbSn6I12 | Alexandria via LeMat-Bulk | PBE-GGA | relaxed
# Crystal system ... cubic
# ΔE_f (raw) ... -459.2 meV per atom
data_RbSn6I12
_space_group_name_H-M_alt 'I m -3'
_space_group_IT_number 204
_space_group_name_Hall '-I 2 2 3'
_cell_length_a 11.8325
_cell_length_b 11.8325
_cell_length_c 11.8325
_cell_angle_alpha 90.00
_cell_angle_beta 90.00
_cell_angle_gamma 90.00
loop_
_atom_site_label
_atom_site_fract_x
_atom_site_fract_y
_atom_site_fract_z
Rb1 0.0000 0.0000 0.0000
Sn1 0.0000 0.1366 0.5000
I1 0.0000 0.3181 0.1676